A geometry-optimized Cs2SiIBr5 structure, computed with PBE.

Raw formation energy: -1121 meV/atom

Cell: 7.959 7.959 10.981 Å, 90.00 90.00 90.00°
Space group I4mm (No. 107)
Unique sites:
Cs (0.000, 0.500, 0.000)
Si (0.000, 0.000, 0.247)
I (0.000, 0.000, 0.494)
Br (0.000, 0.000, 0.026)
Br (0.217, 0.217, 0.249)

A geometry-optimized KCo3Ni structure, computed with PBE.

Excess energy over the best structure of this formula in the dataset: 0.0 meV/atom
Formation energy: 1.1101 eV per atom
DOS(E_F): 1.28 states/eV/atom

Cell: 4.519 4.519 4.519 Å, 90.00 90.00 90.00°
Space group Pm-3m (No. 221)
Unique sites:
K (0.000, 0.000, 0.000)
Co (0.000, 0.500, 0.500)
Ni (0.500, 0.500, 0.500)

A geometry-optimized Ho2ScAu4 structure, computed with PBE.

Excess energy over the best structure of this formula in the dataset: 398.7 meV/atom
Formation energy: -0.3181 eV per atom
DOS(E_F): 0.66 states/eV/atom

Cell: 5.061 5.061 14.641 Å, 90.00 90.00 90.00°
Space group I4/mmm (No. 139)
Unique sites:
Ho (0.000, 0.000, 0.121)
Sc (0.000, 0.000, 0.500)
Au (0.000, 0.000, 0.315)
Au (0.000, 0.500, 0.000)

A geometry-optimized TcSnS3 structure, computed with PBE.

Excess energy over the best structure of this formula in the dataset: 0.0 meV/atom
DOS(E_F): 1.07 states/eV/atom
Raw formation energy: 53 meV/atom

Cell: 4.696 4.696 4.696 Å, 90.00 90.00 90.00°
Space group Pm-3m (No. 221)
Unique sites:
Tc (0.000, 0.000, 0.000)
Sn (0.500, 0.500, 0.500)
S (0.000, 0.000, 0.500)

A geometry-optimized LaPm5Pb6 structure, computed with PBE.

Formation energy: -0.5166 eV per atom
DOS(E_F): 1.01 states/eV/atom

Cell: 5.093 15.333 9.216 Å, 90.00 90.05 90.00°
Space group C2/m (No. 12)
Unique sites:
La (0.000, 0.000, 0.000)
Pm (0.000, 0.000, 0.500)
Pm (0.000, 0.332, 0.000)
Pm (0.000, 0.333, 0.500)
Pb (0.000, 0.168, 0.252)
Pb (0.000, 0.500, 0.252)

A geometry-optimized Rb2TlVCl8 structure, computed with PBE.

DOS(E_F): 0.55 states/eV/atom
Raw formation energy: -1269 meV/atom

Cell: 6.620 7.183 8.383 Å, 89.63 89.56 88.85°
Space group P-1 (No. 2)
Unique sites:
Rb (0.008, 0.000, 0.237)
Tl (0.500, 0.500, 0.500)
V (0.500, 0.500, 0.000)
Cl (0.283, 0.395, 0.205)
Cl (0.284, 0.815, 0.504)
Cl (0.287, 0.387, 0.800)
Cl (0.330, 0.782, 0.995)

A geometry-optimized BaLiAl2 structure, computed with PBE.

Excess energy over the best structure of this formula in the dataset: 10.6 meV/atom
Formation energy: -0.1673 eV per atom
DOS(E_F): 0.38 states/eV/atom

Cell: 4.452 7.837 6.384 Å, 90.00 110.29 90.00°
Space group P2_1/m (No. 11)
Unique sites:
Ba (0.011, 0.250, 0.023)
Li (0.272, 0.750, 0.542)
Al (0.296, 0.074, 0.594)

A geometry-optimized YTh2H8 structure, computed with PBE.

DOS(E_F): 0.35 states/eV/atom

Cell: 3.959 4.810 12.179 Å, 90.00 90.00 90.00°
Space group Immm (No. 71)
Unique sites:
Y (0.000, 0.000, 0.000)
Th (0.000, 0.000, 0.332)
H (0.000, 0.244, 0.154)
H (0.000, 0.250, 0.500)
H (0.000, 0.500, 0.301)

A geometry-optimized Ba2V2Ni structure, computed with PBE.

Excess energy over the best structure of this formula in the dataset: 456.2 meV/atom
Formation energy: 1.1306 eV per atom
DOS(E_F): 0.80 states/eV/atom

Cell: 9.283 9.283 3.608 Å, 90.00 90.00 90.00°
Space group P4/mbm (No. 127)
Unique sites:
Ba (0.213, 0.287, 0.000)
V (0.070, 0.570, 0.500)
Ni (0.000, 0.000, 0.000)

A geometry-optimized CuWCl4 structure, computed with PBE.

Excess energy over the best structure of this formula in the dataset: 0.0 meV/atom
Raw formation energy: -575 meV/atom

Cell: 7.040 7.543 7.563 Å, 65.54 89.67 72.95°
Space group P-1 (No. 2)
Unique sites:
Cu (0.017, 0.173, 0.313)
W (0.038, 0.568, 0.103)
Cl (0.164, 0.818, 0.426)
Cl (0.236, 0.761, 0.935)
Cl (0.266, 0.269, 0.848)
Cl (0.278, 0.294, 0.347)

A geometry-optimized MnVRu4 structure, computed with PBE.

Formation energy: 0.1064 eV per atom
DOS(E_F): 1.45 states/eV/atom

Cell: 7.319 4.233 5.339 Å, 90.00 90.16 90.00°
Space group C2/m (No. 12)
Unique sites:
Mn (0.000, 0.000, 0.000)
V (0.000, 0.000, 0.500)
Ru (0.167, 0.500, 0.130)
Ru (0.167, 0.500, 0.632)

A geometry-optimized LiCdCu2Mo structure, computed with PBE.

Formation energy: 0.9192 eV per atom
DOS(E_F): 0.68 states/eV/atom

Cell: 4.145 4.145 4.475 Å, 90.00 90.00 90.00°
Space group P4/mmm (No. 123)
Unique sites:
Li (0.000, 0.000, 0.000)
Cd (0.500, 0.500, 0.500)
Cu (0.000, 0.500, 0.000)
Mo (0.000, 0.000, 0.500)

A geometry-optimized BeAl2W structure, computed with PBE.

Formation energy: 0.0933 eV per atom
DOS(E_F): 0.49 states/eV/atom

Cell: 2.869 3.683 5.363 Å, 90.00 90.00 90.00°
Space group Pmmm (No. 47)
Unique sites:
Be (0.000, 0.000, 0.000)
Al (0.500, 0.500, 0.241)
W (0.000, 0.000, 0.500)

A geometry-optimized PmSmGaAu structure, computed with PBE.

Excess energy over the best structure of this formula in the dataset: 36.4 meV/atom
Formation energy: -0.6383 eV per atom
DOS(E_F): 1.01 states/eV/atom

Cell: 7.385 7.385 7.385 Å, 90.00 90.00 90.00°
Space group F-43m (No. 216)
Unique sites:
Pm (0.000, 0.000, 0.000)
Sm (0.000, 0.000, 0.500)
Ga (0.250, 0.250, 0.750)
Au (0.250, 0.250, 0.250)

A geometry-optimized Ac2LaNdSm structure, computed with PBE.

Formation energy: 0.2488 eV per atom
DOS(E_F): 1.41 states/eV/atom

Cell: 6.472 9.014 6.944 Å, 90.00 90.00 90.00°
Space group Pmma (No. 51)
Unique sites:
Ac (0.250, 0.201, 0.202)
La (0.250, 0.500, 0.921)
Nd (0.000, 0.500, 0.500)
Sm (0.250, 0.000, 0.667)

A geometry-optimized CaCr2CdH structure, computed with PBE.

DOS(E_F): 1.64 states/eV/atom

Cell: 4.433 4.433 5.700 Å, 90.00 90.00 90.00°
Space group P4/mmm (No. 123)
Unique sites:
Ca (0.000, 0.000, 0.000)
Cr (0.000, 0.500, 0.000)
Cd (0.000, 0.000, 0.500)
H (0.500, 0.500, 0.500)

A geometry-optimized UTl2SbTe4 structure, computed with PBE.

DOS(E_F): 0.72 states/eV/atom
Raw formation energy: -357 meV/atom

Cell: 7.872 4.478 8.483 Å, 90.00 107.59 90.00°
Space group P2/m (No. 10)
Unique sites:
U (0.000, 0.000, 0.000)
Tl (0.000, 0.500, 0.500)
Tl (0.500, 0.000, 0.500)
Sb (0.500, 0.500, 0.000)
Te (0.239, 0.500, 0.215)
Te (0.263, 0.000, 0.787)

A geometry-optimized Cs4UTe4 structure, computed with PBE.

Excess energy over the best structure of this formula in the dataset: 159.4 meV/atom
DOS(E_F): 0.72 states/eV/atom
Raw formation energy: -750 meV/atom

Cell: 11.459 11.459 7.702 Å, 90.00 90.00 90.00°
Space group I4/m (No. 87)
Unique sites:
Cs (0.087, 0.301, 0.000)
U (0.000, 0.000, 0.500)
Te (0.083, 0.244, 0.500)

A geometry-optimized SrMoOs2 structure, computed with PBE.

Excess energy over the best structure of this formula in the dataset: 200.3 meV/atom
Formation energy: 0.7071 eV per atom
DOS(E_F): 1.11 states/eV/atom

Cell: 2.892 4.099 6.866 Å, 90.00 101.19 90.00°
Space group P2/m (No. 10)
Unique sites:
Sr (0.000, 0.000, 0.000)
Mo (0.000, 0.000, 0.500)
Os (0.393, 0.500, 0.677)

A geometry-optimized BC2 structure, computed with PBE.

Excess energy over the best structure of this formula in the dataset: 92.9 meV/atom
Formation energy: 0.3328 eV per atom
DOS(E_F): 0.16 states/eV/atom

Cell: 13.689 2.496 4.706 Å, 90.00 108.18 90.00°
Space group Cm (No. 8)
Unique sites:
B (0.000, 0.000, 0.000)
B (0.057, 0.500, 0.271)
B (0.217, 0.000, 0.580)
B (0.339, 0.500, 0.178)
C (0.008, 0.500, 0.545)
C (0.051, 0.000, 0.731)
C (0.172, 0.000, 0.866)
C (0.177, 0.500, 0.344)
C (0.211, 0.500, 0.064)
C (0.348, 0.000, 0.694)
C (0.376, 0.500, 0.882)
C (0.389, 0.000, 0.427)

| no. | total energy (eV/atom) |
| --- | --- |
| 1 | -3.015 |
| 2 | -4.529 |
| 3 | -4.403 |
| 4 | -5.297 |
| 5 | -4.761 |
| 6 | -3.619 |
| 7 | -2.998 |
| 8 | -4.878 |
| 9 | -4.442 |
| 10 | -4.648 |
| 11 | -9.126 |
| 12 | -3.451 |
| 13 | -5.948 |
| 14 | -4.582 |
| 15 | -4.278 |
| 16 | -2.353 |
| 17 | -4.445 |
| 18 | -3.780 |
| 19 | -8.036 |
| 20 | -8.042 |